[1]
# EuPuSb, optimized geometry, DFT PBE
data_EuPuSb
_symmetry_space_group_name_H-M 'F -4 3 m'
_symmetry_Int_Tables_number 216
_symmetry_space_group_name_Hall 'F -4 2 3'
_cell_length_a 7.509
_cell_length_b 7.509
_cell_length_c 7.509
_cell_angle_alpha 90.00
_cell_angle_beta 90.00
_cell_angle_gamma 90.00
loop_
_atom_site_label
_atom_site_fract_x
_atom_site_fract_y
_atom_site_fract_z
Eu1 0.000 0.000 0.000
Pu1 0.000 0.000 0.500
Sb1 0.250 0.250 0.750
# M_tot, Bohr magnetons per cell: 2.5
# Uncorrected formation energy, eV/f.u.: -1.0

***

[2]
# EuPuSnSb, optimized geometry, DFT PBE
data_EuPuSnSb
_symmetry_space_group_name_H-M 'F -4 3 m'
_symmetry_Int_Tables_number 216
_symmetry_space_group_name_Hall 'F -4 2 3'
_cell_length_a 7.715
_cell_length_b 7.715
_cell_length_c 7.715
_cell_angle_alpha 90.00
_cell_angle_beta 90.00
_cell_angle_gamma 90.00
loop_
_atom_site_label
_atom_site_fract_x
_atom_site_fract_y
_atom_site_fract_z
Eu1 0.000 0.000 0.000
Pu1 0.000 0.000 0.500
Sn1 0.250 0.250 0.750
Sb1 0.250 0.250 0.250
# M_tot, Bohr magnetons per cell: 4.7
# Uncorrected formation energy, eV/f.u.: -1.9

***

[3]
# EuPuSc, optimized geometry, DFT PBE
data_EuPuSc
_symmetry_space_group_name_H-M 'I 4 m m'
_symmetry_Int_Tables_number 107
_symmetry_space_group_name_Hall 'I 4 -2'
_cell_length_a 3.467
_cell_length_b 3.467
_cell_length_c 14.623
_cell_angle_alpha 90.00
_cell_angle_beta 90.00
_cell_angle_gamma 90.00
loop_
_atom_site_label
_atom_site_fract_x
_atom_site_fract_y
_atom_site_fract_z
Eu1 0.000 0.000 0.000
Pu1 0.000 0.000 0.683
Sc1 0.000 0.000 0.328
# M_tot, Bohr magnetons per cell: 2.4
# Calculated total energy, eV/atom: -10.08

***

[4]
# EuPuSi4, optimized geometry, DFT PBE
data_EuPuSi4
_symmetry_space_group_name_H-M 'F -4 3 m'
_symmetry_Int_Tables_number 216
_symmetry_space_group_name_Hall 'F -4 2 3'
_cell_length_a 7.543
_cell_length_b 7.543
_cell_length_c 7.543
_cell_angle_alpha 90.00
_cell_angle_beta 90.00
_cell_angle_gamma 90.00
loop_
_atom_site_label
_atom_site_fract_x
_atom_site_fract_y
_atom_site_fract_z
Eu1 0.000 0.000 0.000
Pu1 0.250 0.250 0.750
Si1 0.124 0.124 0.376
# M_tot, Bohr magnetons per cell: 4.0
# Uncorrected formation energy, eV/f.u.: -1.9

***

[5]
# EuPuSi, optimized geometry, DFT PBE
data_EuPuSi
_symmetry_space_group_name_H-M 'F -4 3 m'
_symmetry_Int_Tables_number 216
_symmetry_space_group_name_Hall 'F -4 2 3'
_cell_length_a 7.046
_cell_length_b 7.046
_cell_length_c 7.046
_cell_angle_alpha 90.00
_cell_angle_beta 90.00
_cell_angle_gamma 90.00
loop_
_atom_site_label
_atom_site_fract_x
_atom_site_fract_y
_atom_site_fract_z
Eu1 0.000 0.000 0.000
Pu1 0.000 0.000 0.500
Si1 0.250 0.250 0.250
# M_tot, Bohr magnetons per cell: 52.0
# Uncorrected formation energy, eV/f.u.: -0.4

***

[6]
# EuPuSi, optimized geometry, DFT PBE
data_EuPuSi
_symmetry_space_group_name_H-M 'P 3 m 1'
_symmetry_Int_Tables_number 156
_cell_length_a 4.9057
_cell_length_b 4.9057
_cell_length_c 3.6031
_cell_angle_alpha 90.00
_cell_angle_beta 90.00
_cell_angle_gamma 120.00
loop_
_symmetry_equiv_pos_as_xyz
'x,y,z'
'-y,x-y,z'
'-x+y,-x,z'
'-y,-x,z'
'-x+y,y,z'
'x,x-y,z'
loop_
_atom_site_label
_atom_site_fract_x
_atom_site_fract_y
_atom_site_fract_z
Eu1 0.0000 0.0000 0.0000
Pu1 0.3333 0.6667 0.5877
Si1 0.6667 0.3333 0.3462
# M_tot, Bohr magnetons per cell: 12.9
# Uncorrected formation energy, eV/f.u.: -0.2

***

[7]
# EuPu2Si, optimized geometry, DFT PBE
data_EuPu2Si
_symmetry_space_group_name_H-M 'R -3 m'
_symmetry_Int_Tables_number 166
_symmetry_space_group_name_Hall '-R 3 2"'
_cell_length_a 4.8367
_cell_length_b 4.8367
_cell_length_c 17.4984
_cell_angle_alpha 90.00
_cell_angle_beta 90.00
_cell_angle_gamma 120.00
loop_
_atom_site_label
_atom_site_fract_x
_atom_site_fract_y
_atom_site_fract_z
Eu1 0.0000 0.0000 0.0000
Pu1 0.0000 0.0000 0.2059
Si1 0.0000 0.0000 0.5000
# M_tot, Bohr magnetons per cell: 14.1
# Uncorrected formation energy, eV/f.u.: 0.7

***

[8]
# EuPu2Si, optimized geometry, DFT PBE
data_EuPu2Si
_symmetry_space_group_name_H-M 'P 4/m m m'
_symmetry_Int_Tables_number 123
_symmetry_space_group_name_Hall '-P 4 2'
_cell_length_a 3.812
_cell_length_b 3.812
_cell_length_c 6.856
_cell_angle_alpha 90.00
_cell_angle_beta 90.00
_cell_angle_gamma 90.00
loop_
_atom_site_label
_atom_site_fract_x
_atom_site_fract_y
_atom_site_fract_z
Eu1 0.000 0.000 0.000
Pu1 0.500 0.500 0.299
Si1 0.000 0.000 0.500
# M_tot, Bohr magnetons per cell: 4.3
# Uncorrected formation energy, eV/f.u.: -0.1

***

Record-wise ρ values, in g/cm³: 8.12 9.20 8.33 7.87 8.05 9.38 9.39 11.13